# Nb2CdInGa

Nb2CdInGa after structural relaxation (PBE, Alexandria).

Values from the calculation:
M_tot	0.28	μB/atom
Fermi-level density of states	5.67	states/eV/cell
crystal system	tetragonal
energy of formation from the pure elements	1.421	eV/atom

a = 5.167 Å, b = 5.167 Å, c = 4.640 Å
α = 90.00°, β = 90.00°, γ = 90.00°
Positions (direct):
Nb 0.000 0.500 0.000
Nb 0.500 0.000 0.000
Cd 0.000 0.000 0.000
In 0.500 0.500 0.500
Ga 0.000 0.000 0.500

***

# Nd4Cd2InGa

Nd4Cd2InGa after structural relaxation (PBE, Alexandria).

Values from the calculation:
M_tot	0.00	μB/atom
Fermi-level density of states	10.10	states/eV/cell
crystal system	trigonal
energy of formation from the pure elements	-0.426	eV/atom

a = 9.368 Å, b = 9.368 Å, c = 9.368 Å
α = 33.58°, β = 33.58°, γ = 33.58°
Positions (direct):
Nd 0.121 0.121 0.121
Nd 0.371 0.371 0.371
Nd 0.629 0.629 0.629
Nd 0.879 0.879 0.879
Cd 0.247 0.247 0.247
Cd 0.753 0.753 0.753
In 0.500 0.500 0.500
Ga 0.000 0.000 0.000

***

# NpCdInGa

NpCdInGa after structural relaxation (PBE, Alexandria).

Values from the calculation:
M_tot	1.10	μB/atom
Fermi-level density of states	8.91	states/eV/cell
crystal system	cubic
energy of formation from the pure elements	0.125	eV/atom

a = 5.079 Å, b = 5.079 Å, c = 5.079 Å
α = 60.00°, β = 60.00°, γ = 60.00°
Positions (direct):
Np 0.000 0.000 0.000
Cd 0.500 0.500 0.500
In 0.250 0.250 0.250
Ga 0.750 0.750 0.750

***

# CdInGaO4

CdInGaO4 after structural relaxation (PBE, Alexandria).

Values from the calculation:
M_tot	0.00	μB/atom
ΔE_f (raw)	-1.46	eV/atom
Fermi-level density of states	0.19	states/eV/cell
crystal system	orthorhombic

a = 6.367 Å, b = 6.367 Å, c = 6.367 Å
α = 121.60°, β = 118.51°, γ = 89.92°
Positions (direct):
Cd 0.500 0.000 0.000
Cd 0.500 0.500 0.500
In 0.000 0.000 0.000
In 0.500 0.000 0.500
Ga 0.115 0.365 0.750
Ga 0.885 0.635 0.250
O 0.232 0.244 0.988
O 0.241 0.238 0.497
O 0.241 0.744 0.003
O 0.245 0.756 0.488
O 0.755 0.244 0.512
O 0.759 0.256 0.997
O 0.759 0.762 0.503
O 0.768 0.756 0.012

***

# Cd2InGaO

Cd2InGaO after structural relaxation (PBE, Alexandria).

Values from the calculation:
M_tot	0.00	μB/atom
ΔE_f (raw)	-0.10	eV/atom
Fermi-level density of states	2.16	states/eV/cell
crystal system	tetragonal

a = 4.552 Å, b = 4.552 Å, c = 5.217 Å
α = 90.00°, β = 90.00°, γ = 90.00°
Positions (direct):
Cd 0.000 0.500 0.000
Cd 0.500 0.000 0.000
In 0.000 0.000 0.500
Ga 0.500 0.500 0.500
O 0.000 0.000 0.000

***

# CdInGaPb

CdInGaPb after structural relaxation (PBE, Alexandria).

Values from the calculation:
M_tot	0.00	μB/atom
energy above the most stable polymorph in this dataset	0.010	eV/atom
Fermi-level density of states	1.78	states/eV/cell
crystal system	monoclinic
energy of formation from the pure elements	0.066	eV/atom

a = 3.394 Å, b = 3.920 Å, c = 7.920 Å
α = 90.00°, β = 99.64°, γ = 90.00°
Positions (direct):
Cd 0.000 0.000 0.000
In 0.905 0.000 0.585
Ga 0.461 0.500 0.796
Pb 0.579 0.500 0.258

***

# CdIn4GaPb2

CdIn4GaPb2 after structural relaxation (PBE, Alexandria).

Values from the calculation:
M_tot	0.00	μB/atom
Fermi-level density of states	9.64	states/eV/cell
crystal system	orthorhombic
energy of formation from the pure elements	0.128	eV/atom

a = 8.663 Å, b = 8.663 Å, c = 8.663 Å
α = 122.17°, β = 117.81°, γ = 90.05°
Positions (direct):
Cd 0.500 0.000 0.000
Cd 0.500 0.500 0.500
In 0.246 0.234 0.011
In 0.257 0.225 0.468
In 0.257 0.789 0.032
In 0.277 0.766 0.511
In 0.723 0.234 0.489
In 0.743 0.211 0.968
In 0.743 0.775 0.532
In 0.754 0.766 0.989
Ga 0.000 0.000 0.000
Ga 0.500 0.000 0.500
Pb 0.000 0.000 0.500
Pb 0.000 0.500 0.000
Pb 0.000 0.500 0.500
Pb 0.500 0.500 0.000

***

# CdInGaPb

CdInGaPb after structural relaxation (PBE, Alexandria).

Values from the calculation:
M_tot	0.00	μB/atom
energy above the most stable polymorph in this dataset	0.000	eV/atom
Fermi-level density of states	1.44	states/eV/cell
crystal system	cubic
energy of formation from the pure elements	0.056	eV/atom

a = 5.260 Å, b = 5.260 Å, c = 5.260 Å
α = 60.00°, β = 60.00°, γ = 60.00°
Positions (direct):
Cd 0.000 0.000 0.000
In 0.250 0.250 0.250
Ga 0.500 0.500 0.500
Pb 0.750 0.750 0.750